No. 1
# Mg2AlCd (GGA-PBEsol, relaxed)
# - E_form (eV/atom) = -0.01
# - relative energy among the computed polymorphs (meV/atom) = 30.1
# - uncorrected energy (eV per formula unit) = -8.77
# - density of states at the Fermi level (states/eV/f.u.) = 1.47
data_Mg2AlCd
_cell_length_a 4.327
_cell_length_b 4.327
_cell_length_c 8.592
_cell_angle_alpha 90.00
_cell_angle_beta 90.00
_cell_angle_gamma 90.00
_space_group_name_H-M_alt 'I -4 m 2'
_space_group_IT_number 119
_space_group_name_Hall 'I -4 -2'
loop_
_atom_site_label
_atom_site_type_symbol
_atom_site_fract_x
_atom_site_fract_y
_atom_site_fract_z
Mg1 Mg 0.000 0.000 0.000
Mg2 Mg 0.000 0.500 0.250
Al1 Al 0.000 0.000 0.500
Cd1 Cd 0.000 0.500 0.750

***

No. 2
# Mg2AlCd (GGA-PBEsol, relaxed)
# - E_form (eV/atom) = 0.05
# - relative energy among the computed polymorphs (meV/atom) = 95.9
# - uncorrected energy (eV per formula unit) = -8.50
# - density of states at the Fermi level (states/eV/f.u.) = 1.47
data_Mg2AlCd
_cell_length_a 6.855
_cell_length_b 6.855
_cell_length_c 6.855
_cell_angle_alpha 90.00
_cell_angle_beta 90.00
_cell_angle_gamma 90.00
_space_group_name_H-M_alt 'F -4 3 m'
_space_group_IT_number 216
_space_group_name_Hall 'F -4 2 3'
loop_
_atom_site_label
_atom_site_type_symbol
_atom_site_fract_x
_atom_site_fract_y
_atom_site_fract_z
Mg1 Mg 0.000 0.000 0.000
Mg2 Mg 0.250 0.250 0.250
Al1 Al 0.250 0.250 0.750
Cd1 Cd 0.000 0.000 0.500

***

No. 3
# Mg2AlCd (GGA-PBEsol, relaxed)
# - E_form (eV/atom) = 0.01
# - relative energy among the computed polymorphs (meV/atom) = 55.2
# - uncorrected energy (eV per formula unit) = -8.67
# - density of states at the Fermi level (states/eV/f.u.) = 1.54
data_Mg2AlCd
_cell_length_a 3.071
_cell_length_b 3.071
_cell_length_c 8.616
_cell_angle_alpha 90.00
_cell_angle_beta 90.00
_cell_angle_gamma 90.00
_space_group_name_H-M_alt 'P 4 m m'
_space_group_IT_number 99
loop_
_space_group_symop_operation_xyz
'x,y,z'
'-y,x,z'
'-x,-y,z'
'y,-x,z'
'-x,y,z'
'y,x,z'
'x,-y,z'
'-y,-x,z'
loop_
_atom_site_label
_atom_site_type_symbol
_atom_site_fract_x
_atom_site_fract_y
_atom_site_fract_z
Mg1 Mg 0.000 0.000 0.000
Mg2 Mg 0.500 0.500 0.271
Al1 Al 0.500 0.500 0.760
Cd1 Cd 0.000 0.000 0.521

***

No. 4
# Mg16Al12Cd (GGA-PBEsol, relaxed)
# - E_form (eV/atom) = -0.01
# - relative energy among the computed polymorphs (meV/atom) = 6.5
# - uncorrected energy (eV per formula unit) = -78.10
# - density of states at the Fermi level (states/eV/f.u.) = 10.83
data_Mg16Al12Cd
_cell_length_a 14.7375
_cell_length_b 14.7375
_cell_length_c 9.1367
_cell_angle_alpha 90.00
_cell_angle_beta 90.00
_cell_angle_gamma 120.00
_space_group_name_H-M_alt 'R 3 m'
_space_group_IT_number 160
_space_group_name_Hall 'R 3 -2"'
loop_
_atom_site_label
_atom_site_type_symbol
_atom_site_fract_x
_atom_site_fract_y
_atom_site_fract_z
Mg1 Mg 0.0000 0.0000 0.0000
Mg2 Mg 0.0128 0.3057 0.3048
Mg3 Mg 0.0680 0.5340 0.2176
Mg4 Mg 0.2035 0.1017 0.5045
Mg5 Mg 0.2176 0.4352 0.7809
Al1 Al 0.0624 0.1248 0.2985
Al2 Al 0.0851 0.5425 0.7277
Al3 Al 0.1485 0.4807 0.4840
Cd1 Cd 0.0000 0.0000 0.6685

***

No. 5
# Mg2AlCd (GGA-PBEsol, relaxed)
# - E_form (eV/atom) = -0.03
# - relative energy among the computed polymorphs (meV/atom) = 13.5
# - uncorrected energy (eV per formula unit) = -8.83
# - density of states at the Fermi level (states/eV/f.u.) = 1.43
data_Mg2AlCd
_cell_length_a 3.178
_cell_length_b 4.574
_cell_length_c 5.786
_cell_angle_alpha 90.00
_cell_angle_beta 105.27
_cell_angle_gamma 90.00
_space_group_name_H-M_alt 'P 1 m 1'
_space_group_IT_number 6
loop_
_space_group_symop_operation_xyz
'x,y,z'
'x,-y,z'
loop_
_atom_site_label
_atom_site_type_symbol
_atom_site_fract_x
_atom_site_fract_y
_atom_site_fract_z
Mg1 Mg 0.000 0.000 0.000
Mg2 Mg 0.330 0.500 0.673
Al1 Al 0.594 0.500 0.192
Cd1 Cd 0.734 0.000 0.478

***

No. 6
# Mg2AlCd (GGA-PBEsol, relaxed)
# - E_form (eV/atom) = -0.03
# - relative energy among the computed polymorphs (meV/atom) = 10.5
# - uncorrected energy (eV per formula unit) = -8.85
# - density of states at the Fermi level (states/eV/f.u.) = 1.64
data_Mg2AlCd
_cell_length_a 4.344
_cell_length_b 4.344
_cell_length_c 8.458
_cell_angle_alpha 90.00
_cell_angle_beta 90.00
_cell_angle_gamma 90.00
_space_group_name_H-M_alt 'I 4/m m m'
_space_group_IT_number 139
_space_group_name_Hall '-I 4 2'
loop_
_atom_site_label
_atom_site_type_symbol
_atom_site_fract_x
_atom_site_fract_y
_atom_site_fract_z
Mg1 Mg 0.000 0.500 0.250
Al1 Al 0.000 0.000 0.000
Cd1 Cd 0.000 0.000 0.500

***

No. 7
# Mg2AlCd (GGA-PBEsol, relaxed)
# - E_form (eV/atom) = -0.01
# - relative energy among the computed polymorphs (meV/atom) = 32.9
# - uncorrected energy (eV per formula unit) = -8.76
# - density of states at the Fermi level (states/eV/f.u.) = 1.68
data_Mg2AlCd
_cell_length_a 3.1219
_cell_length_b 3.1219
_cell_length_c 28.8057
_cell_angle_alpha 90.00
_cell_angle_beta 90.00
_cell_angle_gamma 120.00
_space_group_name_H-M_alt 'R -3 m'
_space_group_IT_number 166
_space_group_name_Hall '-R 3 2"'
loop_
_atom_site_label
_atom_site_type_symbol
_atom_site_fract_x
_atom_site_fract_y
_atom_site_fract_z
Mg1 Mg 0.0000 0.0000 0.2479
Al1 Al 0.0000 0.0000 0.5000
Cd1 Cd 0.0000 0.0000 0.0000

***

No. 8
# Mg2AlCd (GGA-PBEsol, relaxed)
# - E_form (eV/atom) = -0.01
# - relative energy among the computed polymorphs (meV/atom) = 28.0
# - uncorrected energy (eV per formula unit) = -8.78
# - density of states at the Fermi level (states/eV/f.u.) = 1.49
data_Mg2AlCd
_cell_length_a 10.126
_cell_length_b 3.091
_cell_length_c 5.226
_cell_angle_alpha 90.00
_cell_angle_beta 100.35
_cell_angle_gamma 90.00
_space_group_name_H-M_alt 'C 1 m 1'
_space_group_IT_number 8
loop_
_space_group_symop_operation_xyz
'x,y,z'
'x,-y,z'
'x+1/2,y+1/2,z'
'x+1/2,-y+1/2,z'
loop_
_atom_site_label
_atom_site_type_symbol
_atom_site_fract_x
_atom_site_fract_y
_atom_site_fract_z
Mg1 Mg 0.000 0.000 0.000
Mg2 Mg 0.241 0.000 0.724
Al1 Al 0.249 0.500 0.225
Cd1 Cd 0.490 0.000 0.493

***

Q: Look up the relative energy among the computed polymorphs of the third one.
A: 55.2 meV/atom